[1]
# SCAN NdGa3B4O12, single point on PBEsol structure
data_NdGa3B4O12
_cell_length_a 9.5263
_cell_length_b 9.5263
_cell_length_c 7.4857
_cell_angle_alpha 90.00
_cell_angle_beta 90.00
_cell_angle_gamma 120.00
_space_group_name_H-M_alt 'R 3 2'
_space_group_IT_number 155
_space_group_name_Hall 'R 3 2"'
loop_
_atom_site_label
_atom_site_fract_x
_atom_site_fract_y
_atom_site_fract_z
Nd1 0.0000 0.0000 0.0000
Ga1 0.0000 0.4485 0.0000
B1 0.0000 0.0000 0.5000
B2 0.0000 0.5549 0.5000
O1 0.0000 0.1457 0.5000
O2 0.0000 0.4091 0.5000
O3 0.0278 0.8131 0.1871
# electronic total energy	-12.46	eV/atom
# uncorrected formation energy	-2.605	eV/atom


[2]
# SCAN GaNiB3, single point on PBEsol structure
data_GaNiB3
_cell_length_a 3.819
_cell_length_b 3.819
_cell_length_c 3.819
_cell_angle_alpha 90.00
_cell_angle_beta 90.00
_cell_angle_gamma 90.00
_space_group_name_H-M_alt 'P m -3 m'
_space_group_IT_number 221
_space_group_name_Hall '-P 4 2 3'
loop_
_atom_site_label
_atom_site_fract_x
_atom_site_fract_y
_atom_site_fract_z
Ga1 0.000 0.000 0.000
Ni1 0.500 0.500 0.500
B1 0.000 0.500 0.500
# electronic total energy	-9.88	eV/atom
# formation energy from the elements	523	kJ/mol of formula units


[3]
# SCAN GaNi2BO5, single point on PBEsol structure
data_GaNi2BO5
_cell_length_a 9.169
_cell_length_b 12.112
_cell_length_c 2.960
_cell_angle_alpha 90.00
_cell_angle_beta 90.00
_cell_angle_gamma 90.00
_space_group_name_H-M_alt 'P b a m'
_space_group_IT_number 55
_space_group_name_Hall '-P 2 2ab'
loop_
_atom_site_label
_atom_site_fract_x
_atom_site_fract_y
_atom_site_fract_z
Ga1 0.239 0.116 0.000
Ni1 0.000 0.000 0.500
Ni2 0.000 0.282 0.500
Ni3 0.000 0.500 0.000
B1 0.227 0.861 0.000
O1 0.109 0.143 0.500
O2 0.117 0.579 0.500
O3 0.122 0.360 0.000
O4 0.150 0.960 0.000
O5 0.152 0.762 0.000
# electronic total energy	-11.63	eV/atom
# uncorrected formation energy	-1.931	eV/atom


[4]
# SCAN Ga2SiNiB, single point on PBEsol structure
data_Ga2SiNiB
_cell_length_a 4.249
_cell_length_b 4.249
_cell_length_c 3.877
_cell_angle_alpha 90.00
_cell_angle_beta 90.00
_cell_angle_gamma 90.00
_space_group_name_H-M_alt 'P 4/m m m'
_space_group_IT_number 123
_space_group_name_Hall '-P 4 2'
loop_
_atom_site_label
_atom_site_fract_x
_atom_site_fract_y
_atom_site_fract_z
Ga1 0.000 0.500 0.000
Si1 0.000 0.000 0.500
Ni1 0.500 0.500 0.500
B1 0.500 0.500 0.000
# electronic total energy	-12.68	eV/atom
# uncorrected formation energy	0.580	eV/atom


[5]
# SCAN ZrGa2NiB, single point on PBEsol structure
data_ZrGa2NiB
_cell_length_a 5.062
_cell_length_b 5.062
_cell_length_c 4.198
_cell_angle_alpha 90.00
_cell_angle_beta 90.00
_cell_angle_gamma 90.00
_space_group_name_H-M_alt 'P 4/m m m'
_space_group_IT_number 123
_space_group_name_Hall '-P 4 2'
loop_
_atom_site_label
_atom_site_fract_x
_atom_site_fract_y
_atom_site_fract_z
Zr1 0.000 0.000 0.000
Ga1 0.000 0.500 0.000
Ni1 0.500 0.500 0.500
B1 0.000 0.000 0.500
# electronic total energy	-15.96	eV/atom
# formation energy from the elements	696	kJ/mol of formula units


[6]
# SCAN Ga4B2O9, single point on PBEsol structure
data_Ga4B2O9
_cell_length_a 15.764
_cell_length_b 5.654
_cell_length_c 11.169
_cell_angle_alpha 90.00
_cell_angle_beta 133.97
_cell_angle_gamma 90.00
_space_group_name_H-M_alt 'C 1 2/m 1'
_space_group_IT_number 12
_space_group_name_Hall '-C 2y'
loop_
_atom_site_label
_atom_site_fract_x
_atom_site_fract_y
_atom_site_fract_z
Ga1 0.004 0.000 0.265
Ga2 0.132 0.000 0.136
Ga3 0.250 0.250 0.000
Ga4 0.250 0.250 0.500
B1 0.003 0.500 0.703
B2 0.210 0.500 0.211
O1 0.004 0.000 0.902
O2 0.063 0.291 0.371
O3 0.124 0.500 0.837
O4 0.156 0.000 0.870
O5 0.201 0.285 0.140
O6 0.210 0.000 0.366
O7 0.227 0.500 0.351
# relative energy among the computed polymorphs	0.70	eV per formula unit
# electronic total energy	-11.26	eV/atom
# uncorrected formation energy	-2.176	eV/atom


The lowest electronic total energy belongs to which entry?
ZrGa2NiB